1.
PBE HfTi3S3, optimized geometry; crystal system = trigonal; magnetization = 0.000 μB per atom; uncorrected energy = -7.62 eV per atom
1.0
3.326 1.920 6.192
-3.326 1.920 6.192
0.000 -3.840 6.192
Hf Ti S
2 6 6
Cartesian
0.000 0.000 3.067
0.000 0.000 15.508
-0.882 -1.753 5.357
-1.078 1.640 5.357
-1.959 -0.113 13.219
1.959 0.113 5.357
1.078 -1.640 13.219
0.882 1.753 13.219
-0.904 -1.781 7.854
-1.995 -0.108 10.721
-1.091 1.674 7.854
1.091 -1.674 10.721
1.995 0.108 7.854
0.904 1.781 10.721

---

2.
PBE HfTi2S, optimized geometry; crystal system = tetragonal; magnetization = 0.000 μB per atom; uncorrected energy = -7.87 eV per atom
1.0
-3.786 3.786 2.551
3.786 -3.786 2.551
3.786 3.786 -2.551
Hf Ti S
2 4 2
Cartesian
0.000 0.000 0.000
0.000 3.786 1.275
1.893 -1.274 1.913
2.512 1.893 0.638
1.893 5.059 -0.638
1.274 1.893 3.189
3.786 0.000 1.275
0.000 0.000 2.551

---

3.
PBE Hf3TiS8, optimized geometry; crystal system = monoclinic; magnetization = 0.000 μB per atom; uncorrected energy = -7.39 eV per atom
1.0
6.224 -3.595 0.000
6.224 3.595 0.000
-4.215 0.000 6.785
Hf Ti S
3 1 8
Cartesian
0.000 0.000 0.000
3.112 1.797 0.000
3.112 -1.797 0.000
6.224 0.000 0.000
2.075 0.000 1.466
5.219 1.742 1.427
-0.003 0.000 5.357
3.014 1.742 5.357
5.219 -1.742 1.427
8.235 0.000 1.428
3.014 -1.742 5.357
6.158 0.000 5.318